A) # GGA-PBE In2AsP, optimized geometry
# Spin magnetization, μB per cell: 0.00
data_In2AsP
_chemical_formula_sum 'In4 As2 P2'
_space_group_name_H-M_alt 'I 4/m m m'
_space_group_IT_number 139
_space_group_name_Hall '-I 4 2'
_cell_length_a 5.282
_cell_length_b 5.282
_cell_length_c 6.243
_cell_angle_alpha 90.00
_cell_angle_beta 90.00
_cell_angle_gamma 90.00
loop_
_atom_site_label
_atom_site_type_symbol
_atom_site_fract_x
_atom_site_fract_y
_atom_site_fract_z
In1 In 0.000 0.500 0.250
As1 As 0.000 0.000 0.000
P1 P 0.000 0.000 0.500

B) # GGA-PBE In2AsP, optimized geometry
# Spin magnetization, μB per cell: 0.00
data_In2AsP
_chemical_formula_sum 'In6 As3 P3'
_space_group_name_H-M_alt 'R 3 m'
_space_group_IT_number 160
_space_group_name_Hall 'R 3 -2"'
_cell_length_a 3.5096
_cell_length_b 3.5096
_cell_length_c 26.8215
_cell_angle_alpha 90.00
_cell_angle_beta 90.00
_cell_angle_gamma 120.00
loop_
_atom_site_label
_atom_site_type_symbol
_atom_site_fract_x
_atom_site_fract_y
_atom_site_fract_z
In1 In 0.0000 0.0000 0.0000
In2 In 0.0000 0.0000 0.2376
As1 As 0.0000 0.0000 0.4712
P1 P 0.0000 0.0000 0.7542

C) # GGA-PBE In2AsP, optimized geometry
# Spin magnetization, μB per cell: 0.00
data_In2AsP
_chemical_formula_sum 'In2 As1 P1'
_space_group_name_H-M_alt 'P 4 m m'
_space_group_IT_number 99
_cell_length_a 3.527
_cell_length_b 3.527
_cell_length_c 7.688
_cell_angle_alpha 90.00
_cell_angle_beta 90.00
_cell_angle_gamma 90.00
loop_
_space_group_symop_operation_xyz
'x,y,z'
'-y,x,z'
'-x,-y,z'
'y,-x,z'
'-x,y,z'
'y,x,z'
'x,-y,z'
'-y,-x,z'
loop_
_atom_site_label
_atom_site_type_symbol
_atom_site_fract_x
_atom_site_fract_y
_atom_site_fract_z
In1 In 0.000 0.000 0.000
In2 In 0.500 0.500 0.309
As1 As 0.500 0.500 0.696
P1 P 0.000 0.000 0.624

B) is the most stable structure; the next one sits 0.083 eV/atom above it.

A) # GGA-PBE In2AsP, optimized geometry
# Spin magnetization, μB per cell: 0.00
data_In2AsP
_chemical_formula_sum 'In2 As1 P1'
_space_group_name_H-M_alt 'P m m m'
_space_group_IT_number 47
_cell_length_a 3.900
_cell_length_b 4.140
_cell_length_c 5.529
_cell_angle_alpha 90.00
_cell_angle_beta 90.00
_cell_angle_gamma 90.00
loop_
_space_group_symop_operation_xyz
'x,y,z'
'-x,-y,-z'
'-x,-y,z'
'x,y,-z'
'x,-y,-z'
'-x,y,z'
'-x,y,-z'
'x,-y,z'
loop_
_atom_site_label
_atom_site_type_symbol
_atom_site_fract_x
_atom_site_fract_y
_atom_site_fract_z
In1 In 0.000 0.000 0.000
In2 In 0.000 0.500 0.500
As1 As 0.500 0.000 0.500
P1 P 0.500 0.500 0.000

B) # GGA-PBE In2AsP, optimized geometry
# Spin magnetization, μB per cell: 0.00
data_In2AsP
_chemical_formula_sum 'In8 As4 P4'
_space_group_name_H-M_alt 'I -4 2 d'
_space_group_IT_number 122
_space_group_name_Hall 'I -4 2bw'
_cell_length_a 6.066
_cell_length_b 6.066
_cell_length_c 12.120
_cell_angle_alpha 90.00
_cell_angle_beta 90.00
_cell_angle_gamma 90.00
loop_
_atom_site_label
_atom_site_type_symbol
_atom_site_fract_x
_atom_site_fract_y
_atom_site_fract_z
In1 In 0.238 0.250 0.125
As1 As 0.000 0.000 0.500
P1 P 0.000 0.000 0.000

B) is the most stable structure; the next one sits 0.521 eV/atom above it.

A) # GGA-PBE InAsP, optimized geometry
# Spin magnetization, μB per cell: 0.00
data_InAsP
_chemical_formula_sum 'In4 As4 P4'
_space_group_name_H-M_alt 'F -4 3 m'
_space_group_IT_number 216
_space_group_name_Hall 'F -4 2 3'
_cell_length_a 6.496
_cell_length_b 6.496
_cell_length_c 6.496
_cell_angle_alpha 90.00
_cell_angle_beta 90.00
_cell_angle_gamma 90.00
loop_
_atom_site_label
_atom_site_type_symbol
_atom_site_fract_x
_atom_site_fract_y
_atom_site_fract_z
In1 In 0.000 0.000 0.000
As1 As 0.000 0.000 0.500
P1 P 0.250 0.250 0.250

B) # GGA-PBE InAsP, optimized geometry
# Spin magnetization, μB per cell: 0.00
data_InAsP
_chemical_formula_sum 'In4 As4 P4'
_space_group_name_H-M_alt 'F m m 2'
_space_group_IT_number 42
_space_group_name_Hall 'F 2 -2'
_cell_length_a 3.403
_cell_length_b 5.626
_cell_length_c 14.284
_cell_angle_alpha 90.00
_cell_angle_beta 90.00
_cell_angle_gamma 90.00
loop_
_atom_site_label
_atom_site_type_symbol
_atom_site_fract_x
_atom_site_fract_y
_atom_site_fract_z
In1 In 0.000 0.000 0.000
As1 As 0.000 0.000 0.289
P1 P 0.000 0.000 0.674

C) # GGA-PBE InAsP, optimized geometry
# Spin magnetization, μB per cell: 0.00
data_InAsP
_chemical_formula_sum 'In4 As4 P4'
_space_group_name_H-M_alt 'F -4 3 m'
_space_group_IT_number 216
_space_group_name_Hall 'F -4 2 3'
_cell_length_a 6.566
_cell_length_b 6.566
_cell_length_c 6.566
_cell_angle_alpha 90.00
_cell_angle_beta 90.00
_cell_angle_gamma 90.00
loop_
_atom_site_label
_atom_site_type_symbol
_atom_site_fract_x
_atom_site_fract_y
_atom_site_fract_z
In1 In 0.000 0.000 0.000
As1 As 0.250 0.250 0.250
P1 P 0.250 0.250 0.750

D) # GGA-PBE InAsP, optimized geometry
# Spin magnetization, μB per cell: 0.00
data_InAsP
_chemical_formula_sum 'In1 As1 P1'
_space_group_name_H-M_alt 'P 3 m 1'
_space_group_IT_number 156
_cell_length_a 3.4221
_cell_length_b 3.4221
_cell_length_c 7.0181
_cell_angle_alpha 90.00
_cell_angle_beta 90.00
_cell_angle_gamma 120.00
loop_
_space_group_symop_operation_xyz
'x,y,z'
'-y,x-y,z'
'-x+y,-x,z'
'-y,-x,z'
'-x+y,y,z'
'x,x-y,z'
loop_
_atom_site_label
_atom_site_type_symbol
_atom_site_fract_x
_atom_site_fract_y
_atom_site_fract_z
In1 In 0.0000 0.0000 0.0000
As1 As 0.3333 0.6667 0.4253
P1 P 0.6667 0.3333 0.6193

D) is the most stable structure; the next one sits 0.260 eV/atom above it.

A) # GGA-PBE InAs3P, optimized geometry
# Spin magnetization, μB per cell: 0.00
data_InAs3P
_chemical_formula_sum 'In1 As3 P1'
_space_group_name_H-M_alt 'P m -3 m'
_space_group_IT_number 221
_space_group_name_Hall '-P 4 2 3'
_cell_length_a 4.844
_cell_length_b 4.844
_cell_length_c 4.844
_cell_angle_alpha 90.00
_cell_angle_beta 90.00
_cell_angle_gamma 90.00
loop_
_atom_site_label
_atom_site_type_symbol
_atom_site_fract_x
_atom_site_fract_y
_atom_site_fract_z
In1 In 0.000 0.000 0.000
As1 As 0.000 0.500 0.500
P1 P 0.500 0.500 0.500

B) # GGA-PBE InAs3P, optimized geometry
# Spin magnetization, μB per cell: 0.00
data_InAs3P
_chemical_formula_sum 'In1 As3 P1'
_space_group_name_H-M_alt 'P m -3 m'
_space_group_IT_number 221
_space_group_name_Hall '-P 4 2 3'
_cell_length_a 5.156
_cell_length_b 5.156
_cell_length_c 5.156
_cell_angle_alpha 90.00
_cell_angle_beta 90.00
_cell_angle_gamma 90.00
loop_
_atom_site_label
_atom_site_type_symbol
_atom_site_fract_x
_atom_site_fract_y
_atom_site_fract_z
In1 In 0.000 0.000 0.000
As1 As 0.000 0.000 0.500
P1 P 0.500 0.500 0.500

A) is the most stable structure; the next one sits 0.814 eV/atom above it.